1.
Computed, not measured: CdB3I at its PBEsol-relaxed geometry at the meta-GGA SCAN level of DFT.

The structure in POSCAR format:
```
CdB3I
1.0
4.497 0.000 0.000
0.000 4.497 0.000
0.000 0.000 4.497
Cd B I
1 3 1
Direct
0.000 0.000 0.000
0.000 0.000 0.500
0.000 0.500 0.000
0.500 0.000 0.000
0.500 0.500 0.500
```

2.
Computed, not measured: CdBI2 at its PBEsol-relaxed geometry at the meta-GGA SCAN level of DFT.

The structure in POSCAR format:
```
CdBI2
1.0
0.000 5.386 5.386
5.386 0.000 5.386
5.386 5.386 0.000
Cd B I
2 2 4
Direct
0.125 0.125 0.125
0.875 0.875 0.875
0.375 0.375 0.375
0.625 0.625 0.625
0.000 0.500 0.500
0.500 0.000 0.500
0.500 0.500 0.000
0.500 0.500 0.500
```

3.
Computed, not measured: CdBIN2 at its PBEsol-relaxed geometry at the meta-GGA SCAN level of DFT.

The structure in POSCAR format:
```
CdBIN2
1.0
4.178 0.000 0.000
0.000 4.178 0.000
0.000 0.000 6.318
Cd B I N
1 1 1 2
Direct
0.000 0.000 0.000
0.500 0.500 0.500
0.000 0.000 0.500
0.000 0.500 0.000
0.500 0.000 0.000
```

4.
Computed, not measured: CdBI2O at its PBEsol-relaxed geometry at the meta-GGA SCAN level of DFT.

The structure in POSCAR format:
```
CdBI2O
1.0
5.771 0.000 0.000
0.000 5.771 0.000
0.000 0.000 4.048
Cd B I O
1 1 2 1
Direct
0.000 0.000 0.000
0.500 0.500 0.500
0.000 0.500 0.000
0.500 0.000 0.000
0.000 0.000 0.500
```

Formation energy from raw total energies (eV per atom)
2.1988, 0.6911, 2.2504, 0.8588